{"formula": "Ca4SbTe2I", "functional": "GGA-PBE", "state": "optimized geometry", "volume_a3_per_atom": 33.386, "magnetic_moment_mub_per_atom": 0.00, "crystal_system": "tetragonal", "raw_formation_energy_ev_per_atom": -1.44, "total_energy_ev_per_atom": -3.933, "lattice": [[-3.200, 3.200, 6.521], [3.200, -3.200, 6.521], [3.200, 3.200, -6.521]], "species": ["Ca", "Ca", "Ca", "Ca", "Sb", "Te", "Te", "I"], "fractional_positions": [[0.000, 0.500, 0.500], [0.233, 0.233, 0.000], [0.500, 0.000, 0.500], [0.767, 0.767, 0.000], [0.000, 0.000, 0.000], [0.250, 0.750, 0.500], [0.750, 0.250, 0.500], [0.500, 0.500, 0.000]]}